The following is a PBE calculation of a relaxed PmBi2Pb crystal, from the Alexandria database.

abc: 4.299 4.299 6.787
angles: 90.00 90.00 90.00
Atoms (fractional coordinates):
Pb 0.500 0.500 0.000
Bi 0.000 0.000 0.737
Bi 0.000 0.000 0.263
Pm 0.500 0.500 0.500

Properties
Its relative energy among the computed polymorphs is 0.015 eV/atom. The volume comes out at 31.36 Å³/atom. For the total energy, the calculation gives -0.1643 Ha/atom. The energy of formation comes out at -0.416 eV per atom. Its density of states at the Fermi level is 3.2 states/eV/cell. As for the space group: P4/mmm.

The following is a PBE calculation of a relaxed Pm3BiPb crystal, from the Alexandria database.

abc: 6.309 11.706 11.706
angles: 63.48 62.84 62.84
Atoms (fractional coordinates):
Pm 0.443 0.297 0.071
Pm 0.943 0.071 0.297
Pm 0.057 0.929 0.703
Pm 0.557 0.703 0.929
Pm 0.770 0.355 0.455
Pm 0.270 0.455 0.355
Pm 0.730 0.545 0.645
Pm 0.230 0.645 0.545
Pm 0.863 0.637 0.161
Pm 0.363 0.161 0.637
Pm 0.637 0.839 0.363
Pm 0.137 0.363 0.839
Bi 0.796 0.388 0.135
Bi 0.296 0.135 0.388
Bi 0.704 0.865 0.612
Bi 0.204 0.612 0.865
Pb 0.250 0.774 0.226
Pb 0.250 0.036 0.964
Pb 0.750 0.226 0.774
Pb 0.750 0.964 0.036

Properties
The volume comes out at 32.63 Å³/atom. For the total energy, the calculation gives -0.1759 Ha/atom. The energy of formation comes out at -0.418 eV per atom. Its density of states at the Fermi level is 20.4 states/eV/cell. As for the space group: C2/c.

The following is a PBE calculation of a relaxed Pm8BiPb5 crystal, from the Alexandria database.

abc: 8.350 8.350 8.350
angles: 109.43 109.55 109.43
Atoms (fractional coordinates):
Pm 0.124 0.751 0.016
Pm 0.984 0.108 0.734
Pm 0.762 0.249 0.373
Pm 0.627 0.389 0.876
Pm 0.487 0.611 0.238
Pm 0.627 0.892 0.876
Pm 0.266 0.249 0.373
Pm 0.124 0.751 0.513
Bi 0.250 0.500 0.750
Pb 0.001 0.375 0.126
Pb 0.874 0.876 0.250
Pb 0.750 0.625 0.626
Pb 0.500 0.000 0.500
Pb 0.374 0.124 0.999

Properties
The volume comes out at 32.01 Å³/atom. For the total energy, the calculation gives -0.1815 Ha/atom. The energy of formation comes out at -0.623 eV per atom. Its density of states at the Fermi level is 7.8 states/eV/cell. As for the space group: I-4.

The following is a PBE calculation of a relaxed Pm5Bi2Pb2 crystal, from the Alexandria database.

abc: 8.521 8.481 9.086
angles: 117.82 90.00 90.00
Atoms (fractional coordinates):
Pm 0.000 0.000 0.000
Pm 0.500 0.500 0.000
Pm 0.836 0.802 0.269
Pm 0.164 0.468 0.269
Pm 0.336 0.968 0.269
Pm 0.664 0.302 0.269
Pm 0.164 0.198 0.731
Pm 0.836 0.532 0.731
Pm 0.664 0.032 0.731
Pm 0.336 0.698 0.731
Bi 0.000 0.203 0.407
Bi 0.500 0.703 0.407
Bi 0.000 0.797 0.593
Bi 0.500 0.297 0.593
Pb 0.637 0.863 0.000
Pb 0.363 0.137 0.000
Pb 0.137 0.637 0.000
Pb 0.863 0.363 0.000

Properties
The volume comes out at 32.26 Å³/atom. For the total energy, the calculation gives -0.1860 Ha/atom. The energy of formation comes out at -0.736 eV per atom. Its density of states at the Fermi level is 15.0 states/eV/cell. As for the space group: Cmce.

The following is a PBE calculation of a relaxed PmBi2Pb crystal, from the Alexandria database.

abc: 5.651 5.651 5.651
angles: 60.00 60.00 60.00
Atoms (fractional coordinates):
Pb 0.500 0.500 0.500
Bi 0.250 0.250 0.250
Bi 0.750 0.750 0.750
Pm 0.000 0.000 0.000

Properties
Its relative energy among the computed polymorphs is 0.139 eV/atom. The volume comes out at 31.91 Å³/atom. For the total energy, the calculation gives -0.1598 Ha/atom. The energy of formation comes out at -0.292 eV per atom. Its density of states at the Fermi level is 1.9 states/eV/cell. As for the space group: Fm-3m.

The following is a PBE calculation of a relaxed PmBiPb2 crystal, from the Alexandria database.

abc: 4.318 4.318 6.602
angles: 90.00 90.00 90.00
Atoms (fractional coordinates):
Pb 0.000 0.000 0.747
Pb 0.000 0.000 0.253
Bi 0.500 0.500 0.000
Pm 0.500 0.500 0.500

Properties
Its relative energy among the computed polymorphs is 0.122 eV/atom. The volume comes out at 30.78 Å³/atom. For the total energy, the calculation gives -0.1570 Ha/atom. The energy of formation comes out at -0.261 eV per atom. Its density of states at the Fermi level is 3.4 states/eV/cell. As for the space group: P4/mmm.

The following is a PBE calculation of a relaxed Pm2BiPb crystal, from the Alexandria database.

abc: 5.592 5.592 5.592
angles: 60.00 60.00 60.00
Atoms (fractional coordinates):
Pb 0.500 0.500 0.500
Bi 0.000 0.000 0.000
Pm 0.250 0.250 0.250
Pm 0.750 0.750 0.750

Properties
Its relative energy among the computed polymorphs is 0.224 eV/atom. The volume comes out at 30.92 Å³/atom. For the total energy, the calculation gives -0.1762 Ha/atom. The energy of formation comes out at -0.522 eV per atom. Its density of states at the Fermi level is 6.5 states/eV/cell. As for the space group: Fm-3m.

The following is a PBE calculation of a relaxed PmBi2Pb crystal, from the Alexandria database.

abc: 4.821 4.821 7.703
angles: 71.77 71.77 60.00
Atoms (fractional coordinates):
Pm 0.668 0.668 0.995
Bi 0.080 0.080 0.761
Bi 0.256 0.256 0.231
Pb 0.496 0.496 0.513

Properties
Its relative energy among the computed polymorphs is 0.137 eV/atom. The volume comes out at 36.14 Å³/atom. For the total energy, the calculation gives -0.1598 Ha/atom. The energy of formation comes out at -0.294 eV per atom. Its density of states at the Fermi level is 2.1 states/eV/cell. As for the space group: R3m.

The following is a PBE calculation of a relaxed PmBi3Pb crystal, from the Alexandria database.

abc: 10.458 6.232 10.429
angles: 90.00 90.00 90.00
Atoms (fractional coordinates):
Pm 0.750 0.505 0.624
Pm 0.250 0.495 0.376
Pm 0.750 0.005 0.376
Pm 0.250 0.995 0.624
Bi 0.000 0.250 0.530
Bi 0.500 0.750 0.470
Bi 0.000 0.750 0.470
Bi 0.500 0.250 0.530
Bi 0.250 0.102 0.933
Bi 0.750 0.898 0.067
Bi 0.250 0.602 0.067
Bi 0.750 0.398 0.933
Bi 0.250 0.500 0.719
Bi 0.750 0.500 0.281
Bi 0.250 0.000 0.281
Bi 0.750 0.000 0.719
Pb 0.500 0.250 0.133
Pb 0.000 0.750 0.867
Pb 0.500 0.750 0.867
Pb 0.000 0.250 0.133

Properties
The volume comes out at 33.98 Å³/atom. For the total energy, the calculation gives -0.1569 Ha/atom. The energy of formation comes out at -0.248 eV per atom. Its density of states at the Fermi level is 9.2 states/eV/cell. As for the space group: Pbcm.

The following is a PBE calculation of a relaxed PmBiRhPb crystal, from the Alexandria database.

abc: 5.229 5.229 5.229
angles: 60.00 60.00 60.00
Atoms (fractional coordinates):
Pb 0.500 0.500 0.500
Rh 0.000 0.000 0.000
Bi 0.750 0.750 0.750
Pm 0.250 0.250 0.250

Properties
The volume comes out at 25.28 Å³/atom. For the total energy, the calculation gives -0.1883 Ha/atom. The energy of formation comes out at -0.200 eV per atom. Its density of states at the Fermi level is 3.0 states/eV/cell. As for the space group: F-43m.

The following is a PBE calculation of a relaxed Pm6BiPb2Se3 crystal, from the Alexandria database.

abc: 4.397 8.772 9.799
angles: 102.46 102.97 90.00
Atoms (fractional coordinates):
Pm 0.330 0.921 0.659
Pm 0.664 0.590 0.328
Pm 0.670 0.079 0.341
Pm 0.999 0.260 0.997
Pm 0.001 0.740 0.003
Pm 0.336 0.410 0.672
Bi 0.500 0.000 0.000
Pb 0.833 0.667 0.666
Pb 0.167 0.333 0.334
Se 0.500 0.500 0.000
Se 0.834 0.167 0.669
Se 0.166 0.833 0.331

Properties
Its uncorrected formation energy is -1.24 eV per atom. The volume comes out at 29.93 Å³/atom. For the total energy, the calculation gives -0.1996 Ha/atom. Its density of states at the Fermi level is 3.2 states/eV/cell. As for the space group: C2/m.

The following is a PBE calculation of a relaxed Pm6Bi2PbSe3 crystal, from the Alexandria database.

abc: 4.399 8.771 9.808
angles: 102.57 102.96 90.00
Atoms (fractional coordinates):
Pm 0.332 0.927 0.663
Pm 0.663 0.594 0.325
Pm 0.668 0.073 0.337
Pm 0.996 0.255 0.992
Pm 0.004 0.745 0.008
Pm 0.337 0.406 0.675
Bi 0.833 0.666 0.666
Bi 0.167 0.334 0.334
Pb 0.500 0.000 0.000
Se 0.500 0.500 0.000
Se 0.832 0.166 0.665
Se 0.168 0.834 0.335

Properties
Its uncorrected formation energy is -1.31 eV per atom. The volume comes out at 29.96 Å³/atom. For the total energy, the calculation gives -0.2024 Ha/atom. Its density of states at the Fermi level is 4.9 states/eV/cell. As for the space group: C2/m.